[1]
Entry from the Alexandria database: a relaxed structure of AlMo2Os (GGA-PBE).

Output
For the density of states at the Fermi level, the calculation gives 2.923 states/eV per cell. The value obtained for the formation energy is 0.004 eV per atom.

Unit cell a=2.805 b=4.069 c=5.334 alpha=90.00 beta=90.00 gamma=90.00
Sites, in units of the cell vectors:
Al 0.000 0.000 0.000
Mo 0.000 0.000 0.510
Mo 0.500 0.500 0.242
Os 0.500 0.500 0.769

---

[2]
Entry from the Alexandria database: a relaxed structure of AlMoOs2 (GGA-PBE).

Output
For the density of states at the Fermi level, the calculation gives 5.823 states/eV per cell. The value obtained for the formation energy is -0.048 eV per atom.

Unit cell a=9.219 b=2.805 c=4.668 alpha=90.00 beta=100.80 gamma=90.00
Sites, in units of the cell vectors:
Al 0.000 0.000 0.000
Al 0.500 0.500 0.000
Mo 0.263 0.500 0.311
Mo 0.763 0.000 0.311
Os 0.019 0.500 0.505
Os 0.251 0.000 0.811
Os 0.519 0.000 0.505
Os 0.751 0.500 0.811

---

[3]
Entry from the Alexandria database: a relaxed structure of AlMo2Os (GGA-PBE).

Output
For the density of states at the Fermi level, the calculation gives 13.725 states/eV per cell. The value obtained for the formation energy is 0.585 eV per atom.

Unit cell a=7.253 b=7.253 c=5.183 alpha=90.00 beta=90.00 gamma=90.00
Sites, in units of the cell vectors:
Al 0.000 0.000 0.000
Al 0.000 0.500 0.250
Al 0.500 0.000 0.750
Al 0.500 0.500 0.500
Mo 0.221 0.250 0.625
Mo 0.250 0.721 0.875
Mo 0.250 0.779 0.375
Mo 0.279 0.250 0.125
Mo 0.721 0.750 0.125
Mo 0.750 0.221 0.375
Mo 0.750 0.279 0.875
Mo 0.779 0.750 0.625
Os 0.000 0.000 0.500
Os 0.000 0.500 0.750
Os 0.500 0.000 0.250
Os 0.500 0.500 0.000

---

[4]
Entry from the Alexandria database: a relaxed structure of AlMo2Os (GGA-PBE).

Output
For the density of states at the Fermi level, the calculation gives 2.389 states/eV per cell. The value obtained for the formation energy is -0.119 eV per atom.

Unit cell a=2.799 b=4.113 c=5.235 alpha=90.00 beta=90.00 gamma=90.00
Sites, in units of the cell vectors:
Al 0.000 0.000 0.000
Mo 0.500 0.500 0.247
Mo 0.500 0.500 0.753
Os 0.000 0.000 0.500

---

[5]
Entry from the Alexandria database: a relaxed structure of AlMoOs2 (GGA-PBE).

Output
For the density of states at the Fermi level, the calculation gives 2.055 states/eV per cell. The value obtained for the formation energy is -0.231 eV per atom.

Unit cell a=3.011 b=3.011 c=6.351 alpha=90.00 beta=90.00 gamma=90.00
Sites, in units of the cell vectors:
Al 0.000 0.000 0.000
Mo 0.000 0.000 0.500
Os 0.500 0.500 0.239
Os 0.500 0.500 0.761

---

[6]
Entry from the Alexandria database: a relaxed structure of AlMoOs2 (GGA-PBE).

Output
For the density of states at the Fermi level, the calculation gives 4.777 states/eV per cell. The value obtained for the formation energy is -0.062 eV per atom.

Unit cell a=2.926 b=4.520 c=8.758 alpha=90.00 beta=90.00 gamma=90.00
Sites, in units of the cell vectors:
Al 0.000 0.000 0.000
Al 0.500 0.500 0.500
Mo 0.000 0.000 0.500
Mo 0.500 0.500 0.000
Os 0.000 0.500 0.263
Os 0.000 0.500 0.737
Os 0.500 0.000 0.237
Os 0.500 0.000 0.763

---

[7]
Entry from the Alexandria database: a relaxed structure of AlMo3Os (GGA-PBE).

Output
For the density of states at the Fermi level, the calculation gives 6.187 states/eV per cell. Its energy above the most stable polymorph in this dataset is 0.00 kcal/mol of atoms. The value obtained for the formation energy is 1.533 eV per atom.

Unit cell a=4.730 b=4.730 c=4.730 alpha=90.00 beta=90.00 gamma=90.00
Sites, in units of the cell vectors:
Al 0.000 0.000 0.000
Mo 0.000 0.500 0.500
Mo 0.500 0.000 0.500
Mo 0.500 0.500 0.000
Os 0.500 0.500 0.500

---

[8]
Entry from the Alexandria database: a relaxed structure of AlMo2Os (GGA-PBE).

Output
For the density of states at the Fermi level, the calculation gives 3.965 states/eV per cell. The value obtained for the formation energy is -0.230 eV per atom.

Unit cell a=3.141 b=4.244 c=8.925 alpha=90.00 beta=90.00 gamma=90.00
Sites, in units of the cell vectors:
Al 0.000 0.000 0.000
Al 0.500 0.500 0.500
Mo 0.000 0.500 0.247
Mo 0.000 0.500 0.753
Mo 0.500 0.000 0.253
Mo 0.500 0.000 0.747
Os 0.000 0.000 0.500
Os 0.500 0.500 0.000

---

[9]
Entry from the Alexandria database: a relaxed structure of AlMo2Os (GGA-PBE).

Output
For the density of states at the Fermi level, the calculation gives 5.473 states/eV per cell. The value obtained for the formation energy is 0.016 eV per atom.

Unit cell a=5.560 b=5.577 c=4.804 alpha=90.00 beta=125.28 gamma=90.00
Sites, in units of the cell vectors:
Al 0.000 0.000 0.000
Al 0.500 0.500 0.000
Mo 0.000 0.249 0.500
Mo 0.000 0.500 0.000
Mo 0.500 0.000 0.000
Mo 0.500 0.749 0.500
Os 0.000 0.749 0.500
Os 0.500 0.249 0.500

---

[10]
Entry from the Alexandria database: a relaxed structure of AlMo2Os (GGA-PBE).

Output
For the density of states at the Fermi level, the calculation gives 3.384 states/eV per cell. The value obtained for the formation energy is -0.072 eV per atom.

Unit cell a=2.784 b=4.352 c=5.065 alpha=90.00 beta=99.77 gamma=90.00
Sites, in units of the cell vectors:
Al 0.000 0.000 0.000
Mo 0.470 0.000 0.504
Mo 0.626 0.500 0.227
Os 0.147 0.500 0.738

---

[11]
Entry from the Alexandria database: a relaxed structure of AlMo2Os (GGA-PBE).

Output
For the density of states at the Fermi level, the calculation gives 8.313 states/eV per cell. The value obtained for the formation energy is 0.042 eV per atom.

Unit cell a=3.100 b=4.516 c=8.692 alpha=90.00 beta=90.00 gamma=90.00
Sites, in units of the cell vectors:
Al 0.000 0.000 0.000
Al 0.500 0.500 0.000
Mo 0.000 0.000 0.490
Mo 0.000 0.500 0.747
Mo 0.500 0.000 0.747
Mo 0.500 0.500 0.490
Os 0.000 0.500 0.237
Os 0.500 0.000 0.237

---

[12]
Entry from the Alexandria database: a relaxed structure of Al3MoOs (GGA-PBE).

Output
For the density of states at the Fermi level, the calculation gives 2.270 states/eV per cell. Its energy above the most stable polymorph in this dataset is 0.00 kcal/mol of atoms. The value obtained for the formation energy is 0.666 eV per atom.

Unit cell a=4.652 b=4.652 c=4.652 alpha=90.00 beta=90.00 gamma=90.00
Sites, in units of the cell vectors:
Al 0.000 0.000 0.500
Al 0.000 0.500 0.000
Al 0.500 0.000 0.000
Mo 0.500 0.500 0.500
Os 0.000 0.000 0.000

---

Q: Which formula does entry 9 have?
A: AlMo2Os

---

Q: Look up the formation energy of the fourth one.
A: -0.119 eV per atom